Entry 1:
Crystalline Sr2MoRh at its relaxed geometry, computed with GGA-PBE.

Cell lengths 4.2360, 4.2360, 25.9198 Å; angles 90.00, 90.00, 120.00 degrees
Space group R3m (No. 160, hexagonal axes)
Asymmetric unit:
Sr 0.0000 0.0000 0.0000 x3
Sr 0.0000 0.0000 0.1798 x3
Mo 0.0000 0.0000 0.4257 x3
Rh 0.0000 0.0000 0.7515 x3

Properties
Total moment: 1.2 Bohr magnetons per cell
DFT total energy: -5.23 eV per atom
Energy of formation from the pure elements: 0.1520 eV/atom
Polymorph energy (0 for the lowest one): 0.000 eV/atom

---

Entry 2:
Crystalline TbEr2InPd4 at its relaxed geometry, computed with GGA-PBE.

Cell lengths 4.8694, 4.8694, 23.8831 Å; angles 90.00, 90.00, 120.00 degrees
Space group R-3m (No. 166, hexagonal axes)
Asymmetric unit:
Tb 0.0000 0.0000 0.0000 x3
Er 0.0000 0.0000 0.2452 x6
In 0.0000 0.0000 0.5000 x3
Pd 0.0000 0.0000 0.1229 x6
Pd 0.0000 0.0000 0.3744 x6

Properties
Total moment: 0.0 Bohr magnetons per cell
DFT total energy: -5.51 eV per atom
Energy of formation from the pure elements: -0.8504 eV/atom

---

| no. | D(E_F) (states/eV/f.u.) |
| --- | --- |
| 1 | 3.3 |
| 2 | 5.4 |